Record 1
The following is a DFT calculation (PBE-GGA) of Pr4Sm5Cd after structural relaxation.

Computed properties:
calculated formation energy: 0.098 eV/atom
calculated volume: 349.5 Å³ per cell
SG: No. 107
electronic total energy: -4.265 eV/atom
size of the total moment: 0.00 μB/cell
energy above the most stable polymorph in this dataset: 0.150 eV per atom

The structure in extended XYZ format:
```
10
Lattice="-5.4236 5.4236 2.9703 5.4236 -5.4236 2.9703 5.4236 5.4236 -2.9703" Properties=species:S:1:pos:R:3 pbc="T T T"
Pr 3.4268 0.0000 0.0000
Pr 7.4205 0.0000 0.0000
Pr 0.0000 3.4268 0.0000
Pr 0.0000 7.4205 0.0000
Sm 0.0000 0.0000 1.1085
Sm 3.4253 3.4253 -0.0823
Sm 1.9983 -1.9983 2.8880
Sm -1.9983 1.9983 2.8880
Sm 1.9983 1.9983 2.8880
Cd 0.0000 0.0000 4.2110
```

---

Record 2
The following is a DFT calculation (PBE-GGA) of La4RhSBr2 after structural relaxation.

Computed properties:
calculated volume: 229.3 Å³ per cell
SG: No. 10
electronic total energy: -5.743 eV/atom
formation energy (no corrections): -137.6 kJ/mol of atoms
size of the total moment: 0.00 μB/cell

The structure in extended XYZ format:
```
8
Lattice="7.4994 0.0000 0.0000 0.0000 4.0805 0.0000 -2.3838 0.0000 7.4932" Properties=species:S:1:pos:R:3 pbc="T T T"
La 1.1959 0.0000 1.5458
La 0.1543 2.0403 5.8871
La 4.9613 2.0403 1.6061
La 3.9197 0.0000 5.9474
Rh 0.0000 2.0403 0.0000
S 3.7497 0.0000 0.0000
Br -1.1919 0.0000 3.7466
Br 2.5578 2.0403 3.7466
```

---

Record 3
The following is a DFT calculation (PBE-GGA) of Nd2Dy6Er3Tl after structural relaxation.

Computed properties:
calculated formation energy: -0.028 eV/atom
calculated volume: 370.8 Å³ per cell
SG: No. 12
electronic total energy: -4.462 eV/atom
size of the total moment: 0.00 μB/cell

The structure in extended XYZ format:
```
12
Lattice="3.0440 -5.2763 0.0000 3.0440 5.2763 0.0000 -2.0398 0.0000 11.5435" Properties=species:S:1:pos:R:3 pbc="T T T"
Nd 3.0440 3.5236 0.0000
Nd 3.0440 -3.5236 0.0000
Dy 0.0108 1.7310 8.6382
Dy 1.0410 0.0000 2.9183
Dy 0.0108 -1.7310 8.6382
Dy 4.0374 1.7310 2.9054
Dy 3.0072 0.0000 8.6252
Dy 4.0374 -1.7310 2.9054
Er -1.0199 0.0000 5.7718
Er 2.0241 1.7586 5.7718
Er 2.0241 -1.7586 5.7718
Tl 3.0440 0.0000 0.0000
```

---

Record 4
The following is a DFT calculation (PBE-GGA) of Cu4Ag2Au3 after structural relaxation.

Computed properties:
calculated formation energy: 0.030 eV/atom
calculated volume: 282.3 Å³ per cell
SG: No. 15
electronic total energy: -3.517 eV/atom
size of the total moment: 0.00 μB/cell

The structure in extended XYZ format:
```
18
Lattice="6.5576 -4.6651 0.0000 6.5576 4.6651 0.0000 -0.6820 0.0000 4.6138" Properties=species:S:1:pos:R:3 pbc="T T T"
Cu 5.2173 3.4969 4.4695
Cu 6.8748 3.4969 2.4512
Cu 4.7237 1.2160 3.2419
Cu 7.3685 1.2160 3.6788
Cu 5.0647 -1.2160 0.9350
Cu 7.7095 -1.2160 1.3719
Cu 5.5583 -3.4969 2.1626
Cu 7.2158 -3.4969 0.1443
Ag 3.5788 1.0682 0.6331
Ag 3.2379 -1.0682 2.9400
Ag 9.1953 1.0682 1.6738
Ag 8.8543 -1.0682 3.9808
Au 1.6055 1.1909 2.6598
Au 1.9465 -1.1909 0.3529
Au 6.3871 1.1491 1.1535
Au 6.0461 -1.1491 3.4604
Au 10.4866 1.1909 4.2609
Au 10.8276 -1.1909 1.9540
```

---

Record 5
The following is a DFT calculation (PBE-GGA) of LaBe2Pt after structural relaxation.

Computed properties:
calculated formation energy: -0.594 eV/atom
calculated volume: 70.5 Å³ per cell
SG: No. 166
electronic total energy: -5.199 eV/atom
size of the total moment: 0.00 μB/cell

The structure in extended XYZ format:
```
4
Lattice="1.9822 1.1444 5.1804 -1.9822 1.1444 5.1804 0.0000 -2.2888 5.1804" Properties=species:S:1:pos:R:3 pbc="T T T"
La 0.0000 0.0000 0.0000
Be 0.0000 0.0000 2.9639
Be 0.0000 0.0000 12.5772
Pt 0.0000 0.0000 7.7705
```

---

Record 6
The following is a DFT calculation (PBE-GGA) of CdPbBr2 after structural relaxation.

Computed properties:
calculated volume: 127.2 Å³ per cell
SG: No. 35
electronic total energy: -2.415 eV/atom
formation energy (no corrections): -40.8 kJ/mol of atoms
size of the total moment: 0.00 μB/cell
energy above the most stable polymorph in this dataset: 0.115 eV per atom

The structure in extended XYZ format:
```
4
Lattice="2.4075 -2.8866 0.0000 2.4075 2.8866 0.0000 0.0000 0.0000 9.1489" Properties=species:S:1:pos:R:3 pbc="T T T"
Cd 0.0000 0.0000 0.0000
Pb 2.4075 0.0000 6.8131
Br 0.0000 0.0000 4.9686
Br 2.4075 0.0000 1.5286
```

---

Record 7
The following is a DFT calculation (PBE-GGA) of CsGePt after structural relaxation.

Computed properties:
calculated formation energy: -0.288 eV/atom
calculated volume: 94.3 Å³ per cell
SG: No. 187
electronic total energy: -4.125 eV/atom
size of the total moment: 0.00 μB/cell
energy above the most stable polymorph in this dataset: 0.137 eV per atom

The structure in extended XYZ format:
```
3
Lattice="4.2345 0.0000 0.0000 -2.1173 3.6672 0.0000 0.0000 0.0000 6.0742" Properties=species:S:1:pos:R:3 pbc="T T T"
Cs 0.0000 0.0000 0.0000
Ge 0.0000 2.4448 3.0371
Pt 2.1173 1.2224 3.0371
```

---

Record 8
The following is a DFT calculation (PBE-GGA) of RbNa2Sn2Sb2 after structural relaxation.

Computed properties:
calculated volume: 240.8 Å³ per cell
SG: No. 166
electronic total energy: -3.078 eV/atom
formation energy (no corrections): -23.3 kJ/mol of atoms
size of the total moment: 0.00 μB/cell

The structure in extended XYZ format:
```
7
Lattice="2.6850 1.5502 9.6418 -2.6850 1.5502 9.6418 0.0000 -3.1004 9.6418" Properties=species:S:1:pos:R:3 pbc="T T T"
Rb 0.0000 0.0000 0.0000
Na 0.0000 0.0000 4.0026
Na 0.0000 0.0000 24.9228
Sn 0.0000 0.0000 12.7114
Sn 0.0000 0.0000 16.2140
Sb 0.0000 0.0000 7.0808
Sb 0.0000 0.0000 21.8445
```

---

Record 9
The following is a DFT calculation (PBE-GGA) of MnPt4 after structural relaxation.

Computed properties:
calculated formation energy: -0.214 eV/atom
calculated volume: 156.6 Å³ per cell
SG: No. 74
electronic total energy: -6.880 eV/atom
size of the total moment: 8.54 μB/cell
energy above the most stable polymorph in this dataset: 0.012 eV per atom

The structure in extended XYZ format:
```
10
Lattice="-2.0122 2.7479 7.0786 2.0122 -2.7479 7.0786 2.0122 2.7479 -7.0786" Properties=species:S:1:pos:R:3 pbc="T T T"
Mn 0.0000 1.3740 1.4470
Mn 2.0122 1.3740 5.6315
Pt 2.0122 0.0000 0.0000
Pt 2.0122 -1.3740 5.7072
Pt 2.0122 0.0017 2.7001
Pt 0.0000 0.0017 4.3784
Pt 0.0000 0.0000 7.0786
Pt 2.0122 2.7462 2.7001
Pt 0.0000 2.7462 4.3784
Pt 0.0000 4.1219 1.3714
```

---

Record 10
The following is a DFT calculation (PBE-GGA) of Li3Cu2Pt after structural relaxation.

Computed properties:
calculated formation energy: -0.022 eV/atom
calculated volume: 79.4 Å³ per cell
SG: No. 191
electronic total energy: -3.351 eV/atom
size of the total moment: 0.00 μB/cell

The structure in extended XYZ format:
```
6
Lattice="4.6256 0.0000 0.0000 -2.3128 4.0059 0.0000 0.0000 0.0000 4.2835" Properties=species:S:1:pos:R:3 pbc="T T T"
Li -1.1564 2.0030 0.0000
Li 2.3128 0.0000 0.0000
Li 1.1564 2.0030 0.0000
Cu 0.0000 2.6706 2.1418
Cu 2.3128 1.3353 2.1418
Pt 0.0000 0.0000 2.1418
```

---

Record 11
The following is a DFT calculation (PBE-GGA) of AlTlGaPb after structural relaxation.

Computed properties:
calculated formation energy: 0.194 eV/atom
calculated volume: 100.4 Å³ per cell
SG: No. 216
electronic total energy: -3.017 eV/atom
size of the total moment: 0.00 μB/cell

The structure in extended XYZ format:
```
4
Lattice="0.0000 3.6885 3.6885 3.6885 0.0000 3.6885 3.6885 3.6885 0.0000" Properties=species:S:1:pos:R:3 pbc="T T T"
Al 0.0000 0.0000 0.0000
Tl 1.8442 1.8442 1.8442
Ga 3.6885 3.6885 3.6885
Pb 5.5327 5.5327 5.5327
```

---

Record 12
The following is a DFT calculation (PBE-GGA) of Sr2Sn2Te after structural relaxation.

Computed properties:
calculated volume: 190.5 Å³ per cell
SG: No. 139
electronic total energy: -3.331 eV/atom
formation energy (no corrections): -41.4 kJ/mol of atoms
size of the total moment: 0.00 μB/cell
energy above the most stable polymorph in this dataset: 0.421 eV per atom

The structure in extended XYZ format:
```
5
Lattice="-3.2582 3.2582 4.4862 3.2582 -3.2582 4.4862 3.2582 3.2582 -4.4862" Properties=species:S:1:pos:R:3 pbc="T T T"
Sr 3.2582 0.0000 2.2431
Sr 0.0000 3.2582 2.2431
Sn 0.0000 0.0000 1.3827
Sn 0.0000 0.0000 7.5897
Te 0.0000 0.0000 4.4862
```

---

Record 13
The following is a DFT calculation (PBE-GGA) of LiTbTe2O8 after structural relaxation.

Computed properties:
calculated volume: 179.4 Å³ per cell
SG: No. 119
electronic total energy: -5.900 eV/atom
formation energy (no corrections): -147.2 kJ/mol of atoms
size of the total moment: 0.00 μB/cell

The structure in extended XYZ format:
```
12
Lattice="-3.6720 3.6720 3.3269 3.6720 -3.6720 3.3269 3.6720 3.6720 -3.3269" Properties=species:S:1:pos:R:3 pbc="T T T"
Li 0.0000 0.0000 0.0000
Tb 0.0000 3.6720 1.6635
Te 3.6720 0.0000 1.6635
Te 0.0000 0.0000 3.3269
O 2.2895 0.0000 0.4310
O 5.0545 0.0000 0.4310
O 3.6720 2.2527 -1.1591
O 3.6720 -1.3825 2.8960
O 0.0000 1.4193 2.1679
O 3.6720 1.3825 2.8960
O 2.2527 3.6720 1.1591
O 1.4193 0.0000 4.4860
```

---

Record 14
The following is a DFT calculation (PBE-GGA) of HgGeSb2Te after structural relaxation.

Computed properties:
calculated volume: 171.2 Å³ per cell
SG: No. 123
electronic total energy: -2.364 eV/atom
formation energy (no corrections): 86.6 kJ/mol of atoms
size of the total moment: 0.00 μB/cell
energy above the most stable polymorph in this dataset: 0.359 eV per atom

The structure in extended XYZ format:
```
5
Lattice="5.4740 0.0000 0.0000 0.0000 5.4740 0.0000 0.0000 0.0000 5.7126" Properties=species:S:1:pos:R:3 pbc="T T T"
Hg 0.0000 0.0000 0.0000
Ge 2.7370 2.7370 2.8563
Sb 0.0000 2.7370 0.0000
Sb 2.7370 0.0000 0.0000
Te 0.0000 0.0000 2.8563
```

---

Record 15
The following is a DFT calculation (PBE-GGA) of CeYTm2 after structural relaxation.

Computed properties:
calculated formation energy: 0.038 eV/atom
calculated volume: 121.7 Å³ per cell
SG: No. 160
electronic total energy: -5.297 eV/atom
size of the total moment: 0.24 μB/cell
energy above the most stable polymorph in this dataset: 0.012 eV per atom

The structure in extended XYZ format:
```
4
Lattice="1.7630 1.0179 11.3063 -1.7630 1.0179 11.3063 0.0000 -2.0357 11.3063" Properties=species:S:1:pos:R:3 pbc="T T T"
Ce 0.0000 0.0000 0.0000
Y 0.0000 0.0000 28.3042
Tm 0.0000 0.0000 14.1150
Tm 0.0000 0.0000 19.8409
```

---

Record 16
The following is a DFT calculation (PBE-GGA) of CeMgSc after structural relaxation.

Computed properties:
calculated formation energy: 0.004 eV/atom
calculated volume: 148.1 Å³ per cell
SG: No. 129
electronic total energy: -4.616 eV/atom
size of the total moment: 0.00 μB/cell
energy above the most stable polymorph in this dataset: 0.000 eV per atom

The structure in extended XYZ format:
```
6
Lattice="3.3092 0.0000 0.0000 0.0000 3.3092 0.0000 0.0000 0.0000 13.5285" Properties=species:S:1:pos:R:3 pbc="T T T"
Ce 0.8273 0.8273 1.1573
Ce 2.4819 2.4819 12.3713
Mg 0.8273 0.8273 5.7274
Mg 2.4819 2.4819 7.8012
Sc 0.8273 0.8273 10.0137
Sc 2.4819 2.4819 3.5148
```

---

Record 17
The following is a DFT calculation (PBE-GGA) of Nd5Dy2Cd4 after structural relaxation.

Computed properties:
calculated formation energy: -0.075 eV/atom
calculated volume: 336.6 Å³ per cell
SG: No. 12
electronic total energy: -3.411 eV/atom
size of the total moment: 0.00 μB/cell

The structure in extended XYZ format:
```
11
Lattice="11.6912 -1.7732 0.0000 11.6912 1.7732 0.0000 -1.4015 0.0000 8.1194" Properties=species:S:1:pos:R:3 pbc="T T T"
Nd 0.0000 0.0000 0.0000
Nd 6.6643 0.0000 4.0647
Nd 7.0798 0.0000 7.8279
Nd 14.9012 0.0000 0.2915
Nd 15.3167 0.0000 4.0547
Dy 0.8900 0.0000 5.4589
Dy 21.0910 0.0000 2.6605
Cd 4.0674 0.0000 6.7529
Cd 9.7011 0.0000 5.3749
Cd 12.2799 0.0000 2.7445
Cd 17.9136 0.0000 1.3665
```

---

Record 18
The following is a DFT calculation (PBE-GGA) of SmSi2Pd2Pt after structural relaxation.

Computed properties:
calculated volume: 118.9 Å³ per cell
SG: No. 123
electronic total energy: -5.775 eV/atom
formation energy (no corrections): -42.7 kJ/mol of atoms
size of the total moment: 0.00 μB/cell

The structure in extended XYZ format:
```
6
Lattice="4.5827 0.0000 0.0000 0.0000 4.5827 0.0000 0.0000 0.0000 5.6612" Properties=species:S:1:pos:R:3 pbc="T T T"
Sm 0.0000 0.0000 0.0000
Si 0.0000 2.2913 2.8306
Si 2.2913 0.0000 2.8306
Pd 2.2913 2.2913 1.4063
Pd 2.2913 2.2913 4.2549
Pt 0.0000 0.0000 2.8306
```

---

Record 19
The following is a DFT calculation (PBE-GGA) of Al2CoCuH after structural relaxation.

Computed properties:
calculated volume: 52.9 Å³ per cell
SG: No. 123
electronic total energy: -4.590 eV/atom
size of the total moment: 0.00 μB/cell

The structure in extended XYZ format:
```
5
Lattice="4.0941 0.0000 0.0000 0.0000 4.0941 0.0000 0.0000 0.0000 3.1584" Properties=species:S:1:pos:R:3 pbc="T T T"
Al 0.0000 2.0471 0.0000
Al 2.0471 0.0000 0.0000
Co 0.0000 0.0000 1.5792
Cu 2.0471 2.0471 1.5792
H 0.0000 0.0000 0.0000
```

---

Record 20
The following is a DFT calculation (PBE-GGA) of NaCaV after structural relaxation.

Computed properties:
calculated formation energy: 0.399 eV/atom
calculated volume: 189.2 Å³ per cell
SG: No. 1
electronic total energy: -3.748 eV/atom
size of the total moment: 0.00 μB/cell
energy above the most stable polymorph in this dataset: 0.124 eV per atom

The structure in extended XYZ format:
```
6
Lattice="3.6269 0.0000 0.0000 1.8018 3.7138 0.0000 0.0791 2.1198 14.0444" Properties=species:S:1:pos:R:3 pbc="T T T"
Na 0.0000 0.0000 0.0000
Na 1.8739 3.6747 11.1694
Ca 1.9216 1.5563 3.1495
Ca 1.9212 1.5413 8.0206
V 1.9153 4.3187 5.5844
V 3.7323 2.4950 5.5852
```